1.
VASP calculation (SCAN) on a crystal of Li3Ag2Ge3 relaxed with PBEsol.

Summary:
Magnetic moment, μB/f.u.: 0.00
Calculated formation energy, eV/atom: -0.18

Structure (extended XYZ):
```
16
Lattice="-4.226 -3.628 2.988 -2.698 -1.418 -5.537 3.849 -4.977 -0.601" Properties=species:S:1:pos:R:3 pbc="T T T"
Ag -0.957 -6.809 0.406
Ag -0.769 -2.506 -0.788
Ag -4.231 -5.029 -2.062
Ag -0.193 -5.703 -3.857
Li -2.118 -3.215 -3.556
Li 0.000 0.000 0.000
Li -1.537 -5.012 -1.575
Li 1.156 -4.995 -1.088
Li -2.882 -4.320 0.706
Li -2.306 -7.518 -2.363
Ge -2.113 -1.814 1.494
Ge 1.924 -2.489 -0.300
Ge -0.188 -4.303 1.193
Ge -1.349 -0.709 -2.769
Ge 0.575 -3.198 -3.069
Ge -3.462 -2.523 -1.275
```

2.
VASP calculation (SCAN) on a crystal of Y2HgPt relaxed with PBEsol.

Summary:
Magnetic moment, μB/f.u.: 0.00
Calculated formation energy, eV/atom: -0.90

Structure (extended XYZ):
```
4
Lattice="-1.270 2.886 -1.682 -4.292 -1.237 1.119 3.177 2.155 5.093" Properties=species:S:1:pos:R:3 pbc="T T T"
Pt -1.942 0.918 3.041
Y -0.445 2.872 1.467
Y -2.419 3.553 4.126
Hg -2.746 1.087 0.144
```

3.
VASP calculation (SCAN) on a crystal of Ag2TeIr relaxed with PBEsol.

Summary:
Uncorrected energy, eV per cell: -169.042
Magnetic moment, μB/f.u.: 0.00

Structure (extended XYZ):
```
4
Lattice="3.678 0.000 0.000 0.000 3.678 0.000 0.000 0.000 5.344" Properties=species:S:1:pos:R:3 pbc="T T T"
Te 1.839 1.839 2.672
Ag 0.000 0.000 4.054
Ag 0.000 0.000 1.289
Ir 1.839 1.839 0.000
```

4.
VASP calculation (SCAN) on a crystal of CoNiAu4 relaxed with PBEsol.

Summary:
Magnetic moment, μB/f.u.: 3.16
Calculated formation energy, eV/atom: 0.56

Structure (extended XYZ):
```
6
Lattice="-0.402 4.194 -3.165 -1.895 -0.558 -4.885 -4.747 1.934 -1.222" Properties=species:S:1:pos:R:3 pbc="T T T"
Ni 0.000 0.000 0.000
Co -1.761 1.392 -2.318
Au -2.028 2.514 -5.184
Au -3.455 3.760 -3.352
Au -4.202 1.384 -4.212
Au -4.402 3.481 -5.795
```

5.
VASP calculation (SCAN) on a crystal of UCl5 relaxed with PBEsol.

Summary:
Uncorrected energy, eV per cell: -307.536
Magnetic moment, μB/f.u.: 1.00

Structure (extended XYZ):
```
12
Lattice="-6.179 2.003 0.467 1.223 -5.284 -4.605 -0.391 -3.876 8.987" Properties=species:S:1:pos:R:3 pbc="T T T"
Cl -2.188 -3.430 0.524
Cl -2.007 -0.428 2.365
Cl -0.293 -6.281 4.882
Cl 0.332 -6.356 1.418
Cl -5.679 -0.801 3.430
Cl -5.055 -0.876 -0.033
Cl -1.653 -4.172 7.858
Cl -3.694 -2.985 -3.010
Cl -3.159 -3.728 4.325
Cl -3.341 -6.730 2.483
U -0.469 -1.745 0.983
U -4.878 -5.412 3.865
```

6.
VASP calculation (SCAN) on a crystal of Y2TaAs relaxed with PBEsol.

Summary:
Magnetic moment, μB/f.u.: 0.00
Calculated formation energy, eV/atom: -0.22

Structure (extended XYZ):
```
4
Lattice="3.668 0.000 0.000 0.000 4.719 0.000 -1.834 -2.360 5.121" Properties=species:S:1:pos:R:3 pbc="T T T"
Y 1.834 2.360 5.016
Y 1.834 0.000 2.716
Ta 0.000 2.360 2.210
As 1.834 2.360 0.299
```